AgHgCl: relaxed, GGA-PBEsol.

The structure in CIF format:
```
data_AgHgCl
_cell_length_a 3.600
_cell_length_b 3.600
_cell_length_c 5.776
_cell_angle_alpha 90.00
_cell_angle_beta 90.00
_cell_angle_gamma 120.00
_space_group_name_H-M_alt 'P 1'
_space_group_IT_number 1
loop_
_space_group_symop_operation_xyz
'x,y,z'
loop_
_atom_site_label
_atom_site_type_symbol
_atom_site_fract_x
_atom_site_fract_y
_atom_site_fract_z
Hg1 Hg 0.667 0.333 0.314
Ag1 Ag 0.000 0.000 0.988
Cl1 Cl 0.333 0.667 0.698
```

Summary:
N(E_F) in states/eV per atom: 0.048
Total moment in μB per formula unit: 0.0
E_form (uncorrected) in eV/atom: -0.249